No. 1
Density functional theory data (SCAN) for a crystal of Nb2Co12P7 relaxed with PBEsol.

Cell and atoms, written as POSCAR:
```
Nb2Co12P7
1.0
3.484 0.000 0.000
0.000 8.732 0.000
0.000 -4.366 7.563
Nb Co P
2 12 7
Cartesian
0.000 4.366 2.521
1.742 0.000 5.042
1.742 -2.888 6.894
1.742 3.048 6.616
0.000 -0.798 7.085
0.000 4.565 5.431
0.000 2.168 4.711
1.742 2.132 2.944
0.000 1.746 1.238
0.000 -1.371 3.329
1.742 5.117 0.374
1.742 -0.161 1.614
0.000 6.788 0.894
1.742 5.850 4.244
1.742 3.032 0.900
0.000 0.731 3.105
1.742 3.630 4.487
0.000 -2.043 5.377
1.742 6.437 2.176
0.000 1.312 6.643
0.000 0.000 0.000
```

**Space group**: P-6, No. 174
**DOS at the Fermi energy**: 8.48 states/eV/f.u.
**Formation enthalpy at 0 K**: -0.589 eV/atom

No. 2
Density functional theory data (SCAN) for a crystal of Nb2Co4P3 relaxed with PBEsol.

Cell and atoms, written as POSCAR:
```
Nb2Co4P3
1.0
3.570 0.000 0.000
0.000 11.784 0.000
0.000 -5.892 10.206
Co P Nb
16 12 8
Cartesian
1.785 4.274 7.402
0.000 8.550 1.953
1.785 1.325 4.933
1.785 6.849 1.319
0.000 0.000 0.000
0.000 -0.074 3.777
1.785 -2.282 6.591
1.785 0.957 8.887
1.785 3.610 3.614
0.000 2.658 8.253
1.785 3.237 0.000
0.000 -2.584 8.381
1.785 7.217 5.272
1.785 -1.618 2.803
0.000 3.308 1.825
0.000 5.818 6.428
0.000 -3.824 6.623
1.785 2.036 7.027
0.000 7.648 0.000
1.785 -1.211 8.455
0.000 -1.032 1.787
0.000 2.068 3.583
0.000 2.064 0.000
0.000 4.860 8.418
1.785 7.928 3.179
1.785 4.681 1.750
1.785 -0.825 4.929
1.785 5.067 5.276
1.785 1.043 1.806
0.000 -2.634 4.562
1.785 9.699 0.000
1.785 -4.850 8.400
0.000 0.000 6.804
0.000 5.268 0.000
0.000 3.258 5.643
0.000 5.892 3.402
```

**Space group**: P-62m, No. 189
**DOS at the Fermi energy**: 4.05 states/eV/f.u.
**Formation enthalpy at 0 K**: -0.731 eV/atom

No. 3
Density functional theory data (SCAN) for a crystal of Nb2CoPPb relaxed with PBEsol.

Cell and atoms, written as POSCAR:
```
Nb2CoPPb
1.0
3.964 0.000 0.000
0.000 4.789 0.000
0.000 0.000 4.789
Co Nb P Pb
1 2 1 1
Cartesian
0.000 0.000 0.000
0.000 2.394 0.000
0.000 0.000 2.394
1.982 0.000 0.000
1.982 2.394 2.394
```

**Space group**: P4/mmm, No. 123
**DOS at the Fermi energy**: 3.33 states/eV/f.u.
**Formation enthalpy at 0 K**: 0.349 eV/atom

No. 4
Density functional theory data (SCAN) for a crystal of NbCoPb3 relaxed with PBEsol.

Cell and atoms, written as POSCAR:
```
NbCoPb3
1.0
5.401 0.000 0.000
0.000 5.401 0.000
0.000 0.000 5.401
Pb Co Nb
3 1 1
Cartesian
0.000 2.700 0.000
2.700 0.000 0.000
0.000 0.000 2.700
2.700 2.700 2.700
0.000 0.000 0.000
```

**Space group**: Pm-3m, No. 221
**DOS at the Fermi energy**: 4.40 states/eV/f.u.
**Formation enthalpy at 0 K**: 0.970 eV/atom

No. 5
Density functional theory data (SCAN) for a crystal of SrNbCo2Pb relaxed with PBEsol.

Cell and atoms, written as POSCAR:
```
SrNbCo2Pb
1.0
-0.222 3.411 3.433
-4.806 0.250 -0.559
-0.625 -3.755 3.690
Co Nb Pb Sr
2 1 1 1
Cartesian
-0.111 1.705 1.717
-2.403 0.125 -0.279
-0.312 -1.878 1.845
0.000 0.000 0.000
-2.826 -0.047 3.282
```

**Space group**: P4/mmm, No. 123
**DOS at the Fermi energy**: 2.46 states/eV/f.u.
**Formation enthalpy at 0 K**: 1.161 eV/atom

No. 6
Density functional theory data (SCAN) for a crystal of Nb4Co2PdSe12 relaxed with PBEsol.

Cell and atoms, written as POSCAR:
```
Nb4Co2PdSe12
1.0
-0.911 3.161 0.677
-3.574 1.898 -5.335
-15.864 -4.416 7.602
Nb Pd Se Co
4 1 12 2
Cartesian
-6.953 -0.835 2.877
-3.014 0.715 0.940
-13.397 1.479 0.068
-17.335 -0.071 2.004
0.000 0.000 0.000
-4.740 1.133 -3.333
-15.099 0.339 3.097
-12.274 -1.117 5.365
-15.609 -0.489 6.277
-17.356 -2.185 3.511
-10.846 2.266 -0.177
-5.250 0.305 -0.153
-2.993 2.828 -0.567
-8.001 0.964 1.399
-8.075 1.761 -2.421
-9.503 -1.622 3.121
-12.348 -0.320 1.545
-5.774 1.524 1.777
-14.575 -0.881 1.167
```

**Raw formation energy**: -0.75 eV per atom
**Space group**: C2/m, No. 12
**DOS at the Fermi energy**: 2.99 states/eV/f.u.

No. 7
Density functional theory data (SCAN) for a crystal of Nb2Co2Pt relaxed with PBEsol.

Cell and atoms, written as POSCAR:
```
Nb2Co2Pt
1.0
3.010 0.000 0.000
0.000 6.798 0.000
0.000 0.000 6.798
Pt Nb Co
2 4 4
Cartesian
0.000 3.399 3.399
0.000 0.000 0.000
1.505 4.574 5.623
1.505 2.224 1.175
1.505 1.175 4.574
1.505 5.623 2.224
0.000 0.876 2.523
0.000 2.523 5.922
0.000 5.922 4.276
0.000 4.276 0.876
```

**Space group**: P4/mbm, No. 127
**DOS at the Fermi energy**: 2.46 states/eV/f.u.
**Formation enthalpy at 0 K**: -0.341 eV/atom

No. 8
Density functional theory data (SCAN) for a crystal of Nb3CoRh relaxed with PBEsol.

Cell and atoms, written as POSCAR:
```
Nb3CoRh
1.0
4.479 0.000 0.000
0.000 4.479 0.000
0.000 0.000 4.479
Nb Co Rh
3 1 1
Cartesian
0.000 2.239 0.000
0.000 0.000 2.239
2.239 0.000 0.000
0.000 0.000 0.000
2.239 2.239 2.239
```

**Space group**: Pm-3m, No. 221
**DOS at the Fermi energy**: 5.95 states/eV/f.u.
**Formation enthalpy at 0 K**: 0.721 eV/atom

No. 9
Density functional theory data (SCAN) for a crystal of NbCoRu relaxed with PBEsol.

Cell and atoms, written as POSCAR:
```
NbCoRu
1.0
4.212 0.000 0.000
-2.106 3.648 0.000
0.000 0.000 5.262
Co Nb Ru
2 2 2
Cartesian
0.000 2.432 1.316
2.106 1.216 3.947
2.106 1.216 1.316
0.000 2.432 3.947
0.000 0.000 2.631
0.000 0.000 0.000
```

**Space group**: P6_3/mmc, No. 194
**DOS at the Fermi energy**: 1.39 states/eV/f.u.
**Formation enthalpy at 0 K**: -0.159 eV/atom

No. 10
Density functional theory data (SCAN) for a crystal of SrNbCo2Ru relaxed with PBEsol.

Cell and atoms, written as POSCAR:
```
SrNbCo2Ru
1.0
-2.035 3.211 -2.337
-3.964 -1.483 1.413
0.268 3.037 3.939
Co Sr Ru Nb
2 1 1 1
Cartesian
-1.017 1.605 -1.168
-1.982 -0.742 0.707
0.134 1.518 1.969
0.000 0.000 0.000
-2.865 2.382 1.508
```

**Space group**: P4/mmm, No. 123
**DOS at the Fermi energy**: 5.62 states/eV/f.u.
**Formation enthalpy at 0 K**: 1.586 eV/atom

No. 11
Density functional theory data (SCAN) for a crystal of Nb4CoS8 relaxed with PBEsol.

Cell and atoms, written as POSCAR:
```
Nb4CoS8
1.0
-1.995 -1.877 5.984
3.215 -4.237 -3.876
9.959 3.511 4.421
Nb S Co
8 16 2
Cartesian
7.469 2.633 3.316
4.092 -1.295 -0.778
7.087 -1.307 7.307
8.044 -0.407 4.437
3.135 -2.195 2.092
4.677 -4.227 0.233
2.490 0.878 1.105
6.502 1.625 6.296
6.844 0.440 2.420
10.177 -1.677 4.687
9.563 1.398 3.626
7.458 -2.636 3.480
8.461 -1.692 0.470
2.554 -3.071 -0.112
11.180 -0.733 1.677
4.334 -3.042 4.109
-0.001 -1.869 4.852
5.797 -0.528 5.385
3.721 0.034 3.049
1.616 -4.001 2.903
5.381 -2.074 1.144
8.624 0.469 6.641
2.717 -0.911 6.059
1.002 -0.925 1.842
4.979 1.756 2.211
0.000 0.000 0.000
```

**Raw formation energy**: -1.12 eV per atom
**Space group**: P6_3/mmc, No. 194
**DOS at the Fermi energy**: 4.06 states/eV/f.u.

No. 12
Density functional theory data (SCAN) for a crystal of NbCoS3 relaxed with PBEsol.

Cell and atoms, written as POSCAR:
```
NbCoS3
1.0
-4.326 -1.699 0.909
0.121 -2.470 -4.039
1.923 -3.667 2.300
S Co Nb
3 1 1
Cartesian
0.061 -1.235 -2.020
0.961 -1.833 1.150
-2.163 -0.849 0.454
-1.141 -3.917 -0.416
0.000 0.000 0.000
```

**Raw formation energy**: 0.15 eV per atom
**Space group**: Pm-3m, No. 221
**DOS at the Fermi energy**: 4.19 states/eV/f.u.

No. 13
Density functional theory data (SCAN) for a crystal of Nb2ZnCoSb relaxed with PBEsol.

Cell and atoms, written as POSCAR:
```
Nb2ZnCoSb
1.0
4.693 0.000 0.000
0.000 4.693 0.000
0.000 0.000 4.682
Co Nb Zn Sb
1 2 1 1
Cartesian
2.346 2.346 2.341
0.000 2.346 0.000
2.346 0.000 0.000
0.000 0.000 0.000
0.000 0.000 2.341
```

**Raw formation energy**: 1.38 eV per atom
**Space group**: P4/mmm, No. 123
**DOS at the Fermi energy**: 4.93 states/eV/f.u.

No. 14
Density functional theory data (SCAN) for a crystal of Sc2NbCo2 relaxed with PBEsol.

Cell and atoms, written as POSCAR:
```
Sc2NbCo2
1.0
4.222 0.000 0.000
0.000 6.210 0.000
0.000 0.000 6.210
Co Sc Nb
4 4 2
Cartesian
0.000 0.786 2.319
0.000 5.424 3.891
0.000 2.319 5.424
0.000 3.891 0.786
2.111 1.103 4.208
2.111 2.002 1.103
2.111 4.208 5.108
2.111 5.108 2.002
0.000 3.105 3.105
0.000 0.000 0.000
```

**Space group**: P4/mbm, No. 127
**DOS at the Fermi energy**: 5.17 states/eV/f.u.
**Formation enthalpy at 0 K**: -0.121 eV/atom

No. 15
Density functional theory data (SCAN) for a crystal of NbCoSi relaxed with PBEsol.

Cell and atoms, written as POSCAR:
```
NbCoSi
1.0
-1.400 3.210 0.944
-5.443 -2.715 1.159
1.958 -1.096 6.625
Si Nb Co
4 4 4
Cartesian
-1.802 1.240 3.563
-5.042 0.173 2.386
-3.083 -1.840 5.167
0.157 -0.773 6.343
-2.277 0.096 6.744
-5.055 -2.208 3.492
-2.608 -0.697 1.985
0.170 1.607 5.238
-3.682 0.188 4.348
-1.203 -0.789 4.381
-1.694 1.956 1.288
-3.191 -2.557 7.441
```

**Raw formation energy**: -0.69 eV per atom
**Space group**: Pnma, No. 62
**DOS at the Fermi energy**: 0.84 states/eV/f.u.

No. 16
Density functional theory data (SCAN) for a crystal of Nb3Co2Si relaxed with PBEsol.

Cell and atoms, written as POSCAR:
```
Nb3Co2Si
1.0
-7.656 -1.610 0.026
-3.367 -3.099 -6.345
-2.433 -7.434 0.099
Si Nb Co
4 12 8
Cartesian
-6.726 -6.040 -0.715
-7.194 -3.872 -3.937
-8.410 -7.589 -3.887
-4.582 -6.784 -3.900
-3.737 -1.241 -0.293
-7.282 -3.405 -1.236
-4.161 -6.886 -1.192
-2.012 -1.840 -2.857
-1.636 -3.584 -0.264
-4.720 -4.295 -5.043
-8.737 -7.848 -1.176
-9.295 -5.257 -5.027
-2.991 -4.831 -2.817
-5.092 -2.487 -2.846
-4.716 -4.232 -0.253
-6.174 -8.738 -4.984
-10.398 -7.661 -5.208
-8.681 -9.576 -5.185
-11.198 -10.105 -5.176
-5.622 -5.073 -2.599
-6.422 -7.518 -2.566
-6.729 -6.092 -4.685
-8.139 -5.603 -2.590
-10.091 -9.087 -3.090
```

**Raw formation energy**: -0.32 eV per atom
**Space group**: Fd-3m, No. 227
**DOS at the Fermi energy**: 6.26 states/eV/f.u.

No. 17
Density functional theory data (SCAN) for a crystal of SrTiNbCo2 relaxed with PBEsol.

Cell and atoms, written as POSCAR:
```
SrTiNbCo2
1.0
4.399 0.000 0.000
0.000 4.399 0.000
0.000 0.000 4.907
Co Ti Sr Nb
2 1 1 1
Cartesian
2.199 0.000 0.000
0.000 2.199 0.000
2.199 2.199 2.454
0.000 0.000 0.000
0.000 0.000 2.454
```

**Space group**: P4/mmm, No. 123
**DOS at the Fermi energy**: 4.73 states/eV/f.u.
**Formation enthalpy at 0 K**: 2.260 eV/atom

No. 18
Density functional theory data (SCAN) for a crystal of SrNb2TlCo relaxed with PBEsol.

Cell and atoms, written as POSCAR:
```
SrNb2TlCo
1.0
-4.335 1.477 1.059
-1.664 -4.327 -0.778
0.781 -1.168 4.828
Sr Tl Nb Co
1 1 2 1
Cartesian
-2.609 -2.009 2.555
0.391 -0.584 2.414
-0.832 -2.163 -0.389
-2.168 0.739 0.529
0.000 0.000 0.000
```

**Space group**: P4/mmm, No. 123
**DOS at the Fermi energy**: 6.50 states/eV/f.u.
**Formation enthalpy at 0 K**: 0.685 eV/atom

No. 19
Density functional theory data (SCAN) for a crystal of TaNbCo3 relaxed with PBEsol.

Cell and atoms, written as POSCAR:
```
TaNbCo3
1.0
4.291 0.000 0.000
0.000 4.291 0.000
0.000 0.000 4.291
Co Ta Nb
3 1 1
Cartesian
0.000 0.000 2.146
0.000 2.146 0.000
2.146 0.000 0.000
2.146 2.146 2.146
0.000 0.000 0.000
```

**Space group**: Pm-3m, No. 221
**DOS at the Fermi energy**: 7.87 states/eV/f.u.
**Formation enthalpy at 0 K**: 1.634 eV/atom

No. 20
Density functional theory data (SCAN) for a crystal of Ta3NbCo relaxed with PBEsol.

Cell and atoms, written as POSCAR:
```
Ta3NbCo
1.0
-1.145 -0.908 4.283
3.247 -3.146 0.201
2.937 3.124 1.447
Co Ta Nb
1 3 1
Cartesian
0.000 0.000 0.000
-0.572 -0.454 2.141
1.468 1.562 0.724
1.624 -1.573 0.101
2.520 -0.465 2.966
```

**Space group**: Pm-3m, No. 221
**DOS at the Fermi energy**: 7.31 states/eV/f.u.
**Formation enthalpy at 0 K**: 0.769 eV/atom

Number 1: uncorrected energy -359.075 eV for the cell shown. Number 2: uncorrected energy -693.018 eV for the cell shown. Number 3: uncorrected energy -167.996 eV for the cell shown. Number 4: uncorrected energy -272.928 eV for the cell shown. Number 5: uncorrected energy -159.988 eV for the cell shown. Number 6: uncorrected energy -455.040 eV for the cell shown. Number 7: uncorrected energy -345.531 eV for the cell shown. Number 8: uncorrected energy -146.859 eV for the cell shown. Number 9: uncorrected energy -171.477 eV for the cell shown. Number 10: uncorrected energy -116.910 eV for the cell shown. Number 11: uncorrected energy -482.924 eV for the cell shown. Number 12: uncorrected energy -78.572 eV for the cell shown. Number 13: uncorrected energy -127.443 eV for the cell shown. Number 14: uncorrected energy -193.632 eV for the cell shown. Number 15: uncorrected energy -250.027 eV for the cell shown. Number 16: uncorrected energy -583.616 eV for the cell shown. Number 17: uncorrected energy -94.742 eV for the cell shown. Number 18: uncorrected energy -174.771 eV for the cell shown. Number 19: uncorrected energy -143.457 eV for the cell shown. Number 20: uncorrected energy -246.338 eV for the cell shown.